First-principles (PBE-GGA) data for crystalline AgSn3Ru at its relaxed geometry, as listed in Alexandria via LeMat-Bulk.

```
AgSn3Ru
1.0
5.2517 0.0000 0.0000
0.0000 5.2517 0.0000
0.0000 0.0000 5.2517
Ag Sn Ru
1 3 1
Direct
0.0000 0.0000 0.0000
0.0000 0.0000 0.5000
0.0000 0.5000 0.0000
0.5000 0.0000 0.0000
0.5000 0.5000 0.5000
```

Summary:
The value obtained for the energy relative to the elements is 1.161 eV/atom. As for the polymorph energy (0 for the lowest one): 919 meV/atom. The value obtained for the size of the total moment is 2.0 Bohr magnetons per cell.